Arrangement 1

Computed, not measured: a relaxed Ti2MoPt crystal at the PBE level of DFT.

Unit cell a=3.980 b=3.980 c=9.255 alpha=77.58 beta=77.58 gamma=90.00
Element x y z (fractional)
Mo1 0.500 0.500 0.000
Pt1 0.000 0.000 0.000
Ti1 0.131 0.625 0.250
Mo2 0.250 0.750 0.500
Pt2 0.750 0.250 0.500
Ti2 0.619 0.125 0.250
Ti3 0.375 0.381 0.750
Ti4 0.875 0.869 0.750

N(E_F): 4.637 states/eV/f.u.
SG: I-42d, No. 122
Mass density: 9.2 g/cm3

Arrangement 2

Computed, not measured: a relaxed Ti2MoPt crystal at the PBE level of DFT.

Unit cell a=3.185 b=3.185 c=6.219 alpha=90.00 beta=90.00 gamma=90.00
Element x y z (fractional)
Pt1 0.500 0.500 0.500
Ti1 0.000 0.000 0.760
Ti2 0.000 0.000 0.240
Mo1 0.500 0.500 0.000

N(E_F): 2.510 states/eV/f.u.
SG: P4/mmm, No. 123
Mass density: 10.2 g/cm3

Arrangement 3

Computed, not measured: a relaxed Ti2MoPt crystal at the PBE level of DFT.

Unit cell a=4.444 b=4.444 c=4.444 alpha=60.00 beta=60.00 gamma=60.00
Element x y z (fractional)
Mo1 0.000 0.000 0.000
Pt1 0.500 0.500 0.500
Ti1 0.750 0.750 0.750
Ti2 0.250 0.250 0.250

N(E_F): 1.533 states/eV/f.u.
SG: Fm-3m, No. 225
Mass density: 10.4 g/cm3

Computed energies relative to the best structure, in kJ/mol of atoms: arrangement 1 80.0; arrangement 2 2.3; arrangement 3 0.0